Material: Dy2Sc2CI4Br
Method: DFT, GGA-PBE
State: optimized geometry

Cell lengths 10.398, 10.398, 8.158 Å; angles 101.04, 101.04, 21.24 degrees
Fractional positions:
I  0.154  0.154  0.325
I  0.846  0.846  0.175
I  0.846  0.846  0.675
I  0.154  0.154  0.825
Dy  0.000  0.000  0.799
Dy  0.000  0.000  0.201
Br  0.500  0.500  0.500
C  0.500  0.500  0.000
Sc  0.389  0.389  0.945
Sc  0.611  0.611  0.055

Calculated values
**ΔE to the lowest computed polymorph**: 0.0 meV per atom
**V**: 31.34 A^3/atom
**VASP energy**: -5.04 eV/atom

---

Material: RbSm2Cu3TeS4
Method: DFT, GGA-PBE
State: optimized geometry

Cell lengths 7.327, 7.327, 17.557 Å; angles 90.00, 90.00, 147.56 degrees
Fractional positions:
S  0.942  0.058  0.608
S  0.665  0.335  0.931
S  0.335  0.665  0.069
S  0.942  0.058  0.892
S  0.058  0.942  0.392
S  0.335  0.665  0.431
S  0.058  0.942  0.108
S  0.665  0.335  0.569
Sm  0.687  0.313  0.085
Sm  0.687  0.313  0.415
Sm  0.313  0.687  0.585
Sm  0.313  0.687  0.915
Cu  0.085  0.915  0.962
Cu  0.915  0.085  0.038
Cu  0.851  0.149  0.750
Cu  0.085  0.915  0.538
Cu  0.149  0.851  0.250
Cu  0.915  0.085  0.462
Rb  0.451  0.549  0.250
Rb  0.549  0.451  0.750
Te  0.249  0.751  0.750
Te  0.751  0.249  0.250

Calculated values
**V**: 22.98 A^3/atom
**VASP energy**: -4.85 eV/atom

---

Material: RbSrW
Method: DFT, GGA-PBE
State: optimized geometry

Cell lengths 5.763, 5.763, 5.763 Å; angles 60.00, 60.00, 60.00 degrees
Fractional positions:
Sr  0.250  0.250  0.250
Rb  0.000  0.000  0.000
W  0.750  0.750  0.750

Calculated values
**ΔE to the lowest computed polymorph**: 353.4 meV per atom
**V**: 45.10 A^3/atom
**VASP energy**: -2.92 eV/atom

---

Material: LaCdInO3
Method: DFT, GGA-PBE
State: optimized geometry

Cell lengths 7.520, 7.520, 8.332 Å; angles 90.00, 90.00, 151.69 degrees
Fractional positions:
La  0.000  0.000  0.000
La  0.000  0.000  0.500
O  0.605  0.395  0.470
O  0.395  0.605  0.970
O  0.922  0.078  0.250
O  0.605  0.395  0.030
O  0.395  0.605  0.530
O  0.078  0.922  0.750
Cd  0.685  0.314  0.250
Cd  0.314  0.685  0.750
In  0.339  0.661  0.250
In  0.661  0.339  0.750

Calculated values
**V**: 18.62 A^3/atom
**VASP energy**: -5.82 eV/atom

---

Among the records above, which one has the lowest V? LaCdInO3